(1)
# Sm4As6O19 PBE-GGA relaxed
data_Sm4As6O19
_cell_length_a 8.885
_cell_length_b 8.885
_cell_length_c 8.885
_cell_angle_alpha 90.00
_cell_angle_beta 90.00
_cell_angle_gamma 90.00
_space_group_name_H-M_alt 'I 2 3'
_space_group_IT_number 197
_space_group_name_Hall 'I 2 2 3'
loop_
_atom_site_label
_atom_site_fract_x
_atom_site_fract_y
_atom_site_fract_z
Sm1 0.160 0.160 0.840
As1 0.000 0.336 0.500
O1 0.000 0.000 0.000
O2 0.000 0.000 0.355
O3 0.040 0.319 0.287
# Formation energy without anion corrections   -5130 kJ/mol of formula units
# Volume   12.091 A^3/atom

***

(2)
# Sr2Sm4As3O2 PBE-GGA relaxed
data_Sr2Sm4As3O2
_cell_length_a 4.697
_cell_length_b 4.697
_cell_length_c 24.494
_cell_angle_alpha 90.00
_cell_angle_beta 90.00
_cell_angle_gamma 90.00
_space_group_name_H-M_alt 'I 4/m m m'
_space_group_IT_number 139
_space_group_name_Hall '-I 4 2'
loop_
_atom_site_label
_atom_site_fract_x
_atom_site_fract_y
_atom_site_fract_z
Sr1 0.000 0.000 0.198
Sm1 0.000 0.500 0.078
As1 0.000 0.000 0.331
As2 0.000 0.000 0.500
O1 0.000 0.000 0.097
# Formation energy without anion corrections   -1918 kJ/mol of formula units
# Volume   24.566 A^3/atom